# BeZnPb2, relaxed, DFT PBE-GGA
data_BeZnPb2
_chemical_formula_sum 'Be1 Zn1 Pb2'
_space_group_name_H-M_alt 'P 1'
_space_group_IT_number 1
_space_group_name_Hall 'P 1'
_cell_length_a 3.3947
_cell_length_b 3.3947
_cell_length_c 8.2478
_cell_angle_alpha 90.00
_cell_angle_beta 90.00
_cell_angle_gamma 100.98
loop_
_atom_site_label
_atom_site_type_symbol
_atom_site_fract_x
_atom_site_fract_y
_atom_site_fract_z
_atom_site_occupancy
Pb1 Pb 0.0000 0.0000 0.9153 1
Pb2 Pb 0.5000 0.5000 0.3287 1
Zn1 Zn 0.0000 0.0000 0.5670 1
Be1 Be 0.5000 0.5000 0.6889 1
# Space group ... Cmm2, No. 35
# D(E_F) ... 0.298 states/eV/atom
# ΔE_f ... 0.31 eV/atom
# Total magnetic moment ... 0.0 μB per formula unit
# Relative energy among the computed polymorphs ... 0.35 eV/f.u.
# Final energy ... -2.7943 eV/atom